## AlHgS2 (PBE)

Data for a geometry-optimized AlHgS2 structure.

Properties
- crystal system = tetragonal
- uncorrected formation energy (meV per atom) = -624
- uncorrected energy (eV/atom) = -3.698
- distance to the lowest polymorph of the same formula (meV/atom) = 0
- calculated volume (Å³/atom) = 23.19

Structure (CIF):
```
data_AlHgS2
_chemical_formula_sum 'Al4 Hg4 S8'
_symmetry_space_group_name_H-M 'I 4 c m'
_symmetry_Int_Tables_number 108
_symmetry_space_group_name_Hall 'I 4 -2c'
_cell_length_a 7.8909
_cell_length_b 7.8909
_cell_length_c 5.9587
_cell_angle_alpha 90.00
_cell_angle_beta 90.00
_cell_angle_gamma 90.00
loop_
_atom_site_label
_atom_site_fract_x
_atom_site_fract_y
_atom_site_fract_z
Al1 0.0000 0.5000 0.0000
Hg1 0.0000 0.0000 0.2510
S1 0.1545 0.3455 0.2500
```